{"formula": "NbCrN2O", "functional": "PBE+U", "state": "relaxed", "cell": [[3.7845, 0.0000, 0.0000], [0.0000, 3.7845, 0.0000], [0.0000, 0.0000, 3.6923]], "species": ["Nb", "Cr", "N", "N", "O"], "frac_coords": [[0.0000, 0.0000, 0.0000], [0.5000, 0.5000, 0.5000], [0.0000, 0.5000, 0.5000], [0.5000, 0.0000, 0.5000], [0.5000, 0.5000, 0.0000]], "energy_ev_per_cell": -38.9, "n_ef_per_ev_atom": 0.355, "space_group": "P4/mmm (123)"}